Material: W2AuO2
Method: DFT, PBE with a Hubbard U
State: relaxed

```
W2AuO2
1.0
3.9911 0.0000 0.0000
0.0000 3.9911 0.0000
1.9956 1.9956 4.3414
Au O W
1 2 2
direct
0.0000 0.0000 0.0000
0.3488 0.3488 0.3024
0.6512 0.6512 0.6976
0.7500 0.2500 0.5000
0.2500 0.7500 0.5000
```

Calculated values
- DOS(E_F) (states/eV/cell) = 2.991
- SG = I4/mmm, No. 139
- relative energy among the computed polymorphs (meV per atom) = 0